Pm4Al2Ni after structural relaxation. Source: Alexandria, functional PBE.

VASP energy	-4.662	eV per atom

Lattice parameters (Å, degrees): 5.162 5.162 15.524 90.00 90.00 90.00
Space group I4/mmm (No. 139)
Unique sites:
1 Pm 0.000 0.000 0.184
2 Pm 0.000 0.500 0.000
3 Al 0.000 0.000 0.377
4 Ni 0.000 0.000 0.000

---

Pm8AlNi2 after structural relaxation. Source: Alexandria, functional PBE.

VASP energy	-4.933	eV per atom

Lattice parameters (Å, degrees): 8.704 13.627 5.458 90.00 105.16 90.00
Space group C2/m (No. 12)
Unique sites:
1 Pm 0.000 0.244 0.000
2 Pm 0.111 0.500 0.809
3 Pm 0.203 0.125 0.569
4 Al 0.000 0.000 0.000
5 Ni 0.000 0.302 0.500

---

PmAl2Ni3 after structural relaxation. Source: Alexandria, functional PBE.

VASP energy	-5.445	eV per atom

Lattice parameters (Å, degrees): 9.500 7.707 5.213 90.00 90.00 90.00
Space group Cmcm (No. 63)
Unique sites:
1 Pm 0.000 0.185 0.250
2 Al 0.215 0.500 0.000
3 Ni 0.000 0.449 0.750
4 Ni 0.168 0.219 0.750

---

Pm3Al4Ni2 after structural relaxation. Source: Alexandria, functional PBE.

VASP energy	-4.980	eV per atom

Lattice parameters (Å, degrees): 10.640 4.336 8.720 90.00 106.80 90.00
Space group C2/m (No. 12)
Unique sites:
1 Pm 0.000 0.000 0.000
2 Pm 0.100 0.500 0.695
3 Al 0.146 0.000 0.432
4 Al 0.225 0.500 0.076
5 Ni 0.166 0.500 0.320

---

PmAl4Ni2 after structural relaxation. Source: Alexandria, functional PBE.

distance to the lowest polymorph of the same formula	0.000	eV/atom

Lattice parameters (Å, degrees): 17.011 4.171 6.470 90.00 90.00 90.00
Space group Pnma (No. 62)
Unique sites:
1 Pm 0.136 0.250 0.017
2 Al 0.033 0.750 0.816
3 Al 0.076 0.250 0.505
4 Al 0.187 0.750 0.329
5 Al 0.198 0.750 0.728
6 Ni 0.038 0.750 0.253
7 Ni 0.218 0.250 0.531

---

PmAl2NiPt4 after structural relaxation. Source: Alexandria, functional PBE.

VASP energy	-6.131	eV per atom

Lattice parameters (Å, degrees): 4.2740 4.2740 25.9703 90.00 90.00 120.00
Space group R-3m (No. 166, hexagonal axes)
Unique sites:
1 Pm 0.0000 0.0000 0.0000
2 Al 0.0000 0.0000 0.2349
3 Ni 0.0000 0.0000 0.5000
4 Pt 0.0000 0.0000 0.1319
5 Pt 0.0000 0.0000 0.4028

---

PmAlNiPt after structural relaxation. Source: Alexandria, functional PBE.

VASP energy	-5.691	eV per atom

Lattice parameters (Å, degrees): 6.613 6.613 6.613 90.00 90.00 90.00
Space group F-43m (No. 216)
Unique sites:
1 Pm 0.000 0.000 0.000
2 Al 0.000 0.000 0.500
3 Ni 0.250 0.250 0.750
4 Pt 0.250 0.250 0.250

---

PmAlNiPt3 after structural relaxation. Source: Alexandria, functional PBE.

VASP energy	-6.019	eV per atom

Lattice parameters (Å, degrees): 6.759 11.585 5.656 90.00 90.00 90.00
Space group Cmcm (No. 63)
Unique sites:
1 Pm 0.000 0.219 0.250
2 Al 0.000 0.130 0.750
3 Ni 0.000 0.444 0.250
4 Pt 0.000 0.335 0.750
5 Pt 0.208 0.000 0.000

---

Pm2Al3NiPt4 after structural relaxation. Source: Alexandria, functional PBE.

VASP energy	-6.062	eV per atom

Lattice parameters (Å, degrees): 4.143 4.143 10.825 90.00 90.00 90.00
Space group P-4m2 (No. 115)
Unique sites:
1 Pm 0.000 0.500 0.239
2 Al 0.000 0.000 0.000
3 Al 0.000 0.500 0.631
4 Ni 0.500 0.500 0.000
5 Pt 0.000 0.000 0.500
6 Pt 0.000 0.500 0.861
7 Pt 0.500 0.500 0.500

---

PmAl3NiPt after structural relaxation. Source: Alexandria, functional PBE.

VASP energy	-5.267	eV per atom

Lattice parameters (Å, degrees): 6.277 11.919 5.878 90.00 90.00 90.00
Space group Cmcm (No. 63)
Unique sites:
1 Pm 0.000 0.232 0.250
2 Al 0.000 0.351 0.750
3 Al 0.212 0.000 0.000
4 Ni 0.000 0.453 0.250
5 Pt 0.000 0.142 0.750

---

Pm2Al4NiRh3 after structural relaxation. Source: Alexandria, functional PBE.

VASP energy	-6.034	eV per atom

Lattice parameters (Å, degrees): 4.223 4.223 10.218 90.00 90.00 90.00
Space group P-4m2 (No. 115)
Unique sites:
1 Pm 0.000 0.500 0.241
2 Al 0.000 0.000 0.500
3 Al 0.000 0.500 0.880
4 Al 0.500 0.500 0.500
5 Ni 0.500 0.500 0.000
6 Rh 0.000 0.000 0.000
7 Rh 0.000 0.500 0.634

---

Pm2Al4Ni3Ru after structural relaxation. Source: Alexandria, functional PBE.

VASP energy	-5.671	eV per atom

Lattice parameters (Å, degrees): 4.220 4.220 9.803 90.00 90.00 90.00
Space group P-4m2 (No. 115)
Unique sites:
1 Pm 0.000 0.500 0.241
2 Al 0.000 0.000 0.500
3 Al 0.000 0.500 0.875
4 Al 0.500 0.500 0.500
5 Ni 0.000 0.000 0.000
6 Ni 0.000 0.500 0.628
7 Ru 0.500 0.500 0.000

---

Pm2ScAl12Ni3 after structural relaxation. Source: Alexandria, functional PBE.

VASP energy	-4.353	eV per atom

Lattice parameters (Å, degrees): 8.4310 8.4310 18.1424 90.00 90.00 120.00
Space group R-3m (No. 166, hexagonal axes)
Unique sites:
1 Pm 0.0000 0.0000 0.0806
2 Sc 0.0000 0.0000 0.5000
3 Al 0.0746 0.5373 0.3109
4 Al 0.0823 0.5411 0.8774
5 Ni 0.0000 0.5000 0.0000

---

PmAl2SiNi4 after structural relaxation. Source: Alexandria, functional PBE.

uncorrected formation energy	-0.558	eV per atom

Lattice parameters (Å, degrees): 4.0242 4.0242 25.2390 90.00 90.00 120.00
Space group R-3m (No. 166, hexagonal axes)
Unique sites:
1 Pm 0.0000 0.0000 0.0000
2 Al 0.0000 0.0000 0.2391
3 Si 0.0000 0.0000 0.5000
4 Ni 0.0000 0.0000 0.1376
5 Ni 0.0000 0.0000 0.4101

---

PmAlSi2Ni4 after structural relaxation. Source: Alexandria, functional PBE.

uncorrected formation energy	-0.591	eV per atom

Lattice parameters (Å, degrees): 3.9612 3.9612 25.1146 90.00 90.00 120.00
Space group R-3m (No. 166, hexagonal axes)
Unique sites:
1 Pm 0.0000 0.0000 0.0000
2 Al 0.0000 0.0000 0.5000
3 Si 0.0000 0.0000 0.2407
4 Ni 0.0000 0.0000 0.1337
5 Ni 0.0000 0.0000 0.4086

---

Pm3Al2Si2Ni4 after structural relaxation. Source: Alexandria, functional PBE.

uncorrected formation energy	-0.549	eV per atom

Lattice parameters (Å, degrees): 4.1224 4.1224 14.0776 90.00 90.00 120.00
Space group P-3m1 (No. 164)
Unique sites:
1 Pm 0.0000 0.0000 0.0000
2 Pm 0.0000 0.0000 0.2751
3 Al 0.3333 0.6667 0.5571
4 Si 0.3333 0.6667 0.1443
5 Ni 0.3333 0.6667 0.3877
6 Ni 0.3333 0.6667 0.8631

---

Pm2AlSiNi6 after structural relaxation. Source: Alexandria, functional PBE.

uncorrected formation energy	-0.414	eV per atom

Lattice parameters (Å, degrees): 6.040 6.042 6.163 61.04 61.02 60.07
Space group P-1 (No. 2)
Unique sites:
1 Pm 0.204 0.205 0.386
2 Al 0.500 0.500 0.500
3 Si 0.000 0.000 0.000
4 Ni 0.171 0.317 0.880
5 Ni 0.316 0.630 0.883
6 Ni 0.370 0.830 0.118

---

Pm2AlNi4Sn3 after structural relaxation. Source: Alexandria, functional PBE.

VASP energy	-5.389	eV per atom

Lattice parameters (Å, degrees): 4.335 4.335 10.256 90.00 90.00 90.00
Space group P-4m2 (No. 115)
Unique sites:
1 Pm 0.000 0.500 0.248
2 Al 0.000 0.000 0.500
3 Ni 0.000 0.000 0.000
4 Ni 0.000 0.500 0.626
5 Ni 0.500 0.500 0.000
6 Sn 0.000 0.500 0.870
7 Sn 0.500 0.500 0.500

---

PmTmAlNi after structural relaxation. Source: Alexandria, functional PBE.

VASP energy	-4.967	eV per atom

Lattice parameters (Å, degrees): 7.080 7.080 7.080 90.00 90.00 90.00
Space group F-43m (No. 216)
Unique sites:
1 Pm 0.000 0.000 0.000
2 Tm 0.000 0.000 0.500
3 Al 0.250 0.250 0.750
4 Ni 0.250 0.250 0.250

---

PmYAlNi after structural relaxation. Source: Alexandria, functional PBE.

VASP energy	-5.455	eV per atom

Lattice parameters (Å, degrees): 7.142 7.142 7.142 90.00 90.00 90.00
Space group F-43m (No. 216)
Unique sites:
1 Pm 0.000 0.000 0.000
2 Y 0.000 0.000 0.500
3 Al 0.250 0.250 0.750
4 Ni 0.250 0.250 0.250